This record from Alexandria describes a PBEsol-optimized structure of Li3Ti2P3O12. The functional is meta-GGA SCAN.

Calculated values
Its relative energy among the computed polymorphs is 13 meV/atom. Its crystal system is monoclinic. As for the formation energy without anion corrections: -2.730 eV/atom.

Cell lengths 4.9091, 4.9091, 18.1128 Å; angles 90.52, 90.52, 67.50 degrees
Last column: nearest neighbours and their distance in Å.
Element x y z (fractional)
Li (0.9987, 0.9987, 0.1718)  6 O 2.03-2.27
Li (0.6705, 0.6705, 0.9082)  4 O 1.87-2.09
Li (0.6671, 0.6671, 0.2469)  4 O 1.91-2.11
Li (0.0013, 0.0013, 0.8282)  6 O 2.03-2.27
Li (0.3329, 0.3329, 0.7531)  4 O 1.91-2.11
Li (0.3295, 0.3295, 0.0918)  4 O 1.87-2.09
Ti (0.0000, 0.0000, 0.5000)  6 O 1.97-2.08
Ti (0.9985, 0.9985, 0.3431)  6 O 1.93-2.09
Ti (0.0015, 0.0015, 0.6569)  6 O 1.93-2.09
Ti (0.0000, 0.0000, 0.0000)  6 O 2.00-2.06
P (0.6544, 0.6544, 0.7415)  4 O 1.51-1.57
P (0.6497, 0.6497, 0.4200)  4 O 1.52-1.57
P (0.6492, 0.6492, 0.0808)  4 O 1.51-1.57
P (0.3503, 0.3503, 0.5800)  4 O 1.52-1.57
P (0.3508, 0.3508, 0.9192)  4 O 1.51-1.57
P (0.3456, 0.3456, 0.2585)  4 O 1.51-1.57
O (0.3051, 0.7658, 0.4205)  1 P 1.57
O (0.3084, 0.7663, 0.7371)  1 P 1.57
O (0.3034, 0.7603, 0.0780)  1 P 1.57
O (0.2342, 0.6949, 0.5795)  1 P 1.57
O (0.2397, 0.6966, 0.9220)  1 P 1.57
O (0.2337, 0.6916, 0.2629)  1 P 1.57
O (0.2396, 0.2396, 0.5121)  1 P 1.52
O (0.2457, 0.2457, 0.8503)  1 P 1.51
O (0.7513, 0.7513, 0.3489)  1 P 1.54
O (0.7689, 0.7689, 0.6743)  1 P 1.54
O (0.7604, 0.7604, 0.4879)  1 P 1.52
O (0.2461, 0.2461, 0.1876)  1 P 1.51
O (0.2436, 0.2436, 0.9897)  1 P 1.55
O (0.2487, 0.2487, 0.6511)  1 P 1.54
O (0.7539, 0.7539, 0.8124)  1 P 1.51
O (0.7564, 0.7564, 0.0103)  1 P 1.55
O (0.2311, 0.2311, 0.3257)  1 P 1.54
O (0.7543, 0.7543, 0.1497)  1 P 1.51
O (0.6949, 0.2342, 0.5795)  1 P 1.57
O (0.6916, 0.2337, 0.2629)  1 P 1.57
O (0.7658, 0.3051, 0.4205)  1 P 1.57
O (0.6966, 0.2397, 0.9220)  1 P 1.57
O (0.7603, 0.3034, 0.0780)  1 P 1.57
O (0.7663, 0.3084, 0.7371)  1 P 1.57